HgBi2AsI | PBE | relaxed

Properties
Raw formation energy   0.998 eV per atom
Fermi-level density of states   1.128 states/eV per atom
Calculated volume   196 Å³/cell

Cell: 5.9968 5.9968 5.4528 Å, 90.00 90.00 90.00°
With the nearest neighbours (Å) after each atom.
Space group P4/mmm (No. 123)
Unique sites:
Hg: 0.0000 0.0000 0.0000  8 Bi 4.05, 4 As 4.24
Bi: 0.0000 0.5000 0.5000  2 I 3.00
As: 0.5000 0.5000 0.0000  2 I 2.73
I: 0.5000 0.5000 0.5000  2 As 2.73, 4 Bi 3.00